Here is a relaxed La4PmSmTm2 crystal from the Alexandria database. Energies are from GGA-PBE.

## Properties
Formation energy from the elements ... 0.141 eV/f.u.
Calculated density ... 7.16 g/cm3
Symmetry ... Pmmm, No. 47
Final energy ... -4.75 eV per atom

The structure in POSCAR format:
```
La4PmSmTm2
1.0
5.209 0.000 0.000
0.000 5.242 0.000
0.000 0.000 10.092
La Pm Sm Tm
4 1 1 2
Direct
0.000 0.000 0.249
0.000 0.000 0.751
0.500 0.500 0.250
0.500 0.500 0.750
0.500 0.000 0.500
0.000 0.500 0.000
0.000 0.500 0.500
0.500 0.000 0.000
```